(1)
## RbBePd (PBE-GGA)

Data for a relaxed structure of RbBePd.

Calculated values
Space group: F-43m
Distance to the lowest polymorph of the same formula in meV/atom: 612.4
VASP energy in Ry per atom: -0.13132

a b c (Å): 5.1307 5.1307 5.1307
angles (deg): 60.00 60.00 60.00
Atoms (fractional coordinates):
Pd (0.7500, 0.7500, 0.7500)
Rb (0.0000, 0.0000, 0.0000)
Be (0.2500, 0.2500, 0.2500)

(2)
## RbBePd (PBE-GGA)

Data for a relaxed structure of RbBePd.

Calculated values
Space group: F-43m
Distance to the lowest polymorph of the same formula in meV/atom: 21.0
VASP energy in Ry per atom: -0.17479

a b c (Å): 4.7351 4.7351 4.7351
angles (deg): 60.00 60.00 60.00
Atoms (fractional coordinates):
Pd (0.2500, 0.2500, 0.2500)
Rb (0.7500, 0.7500, 0.7500)
Be (0.0000, 0.0000, 0.0000)

(3)
## RbBeSbPd (PBE-GGA)

Data for a relaxed structure of RbBeSbPd.

Calculated values
Space group: F-43m
Distance to the lowest polymorph of the same formula in meV/atom: 0.0
VASP energy in Ry per atom: -0.22112

a b c (Å): 4.9801 4.9801 4.9801
angles (deg): 60.00 60.00 60.00
Atoms (fractional coordinates):
Sb (0.0000, 0.0000, 0.0000)
Be (0.7500, 0.7500, 0.7500)
Rb (0.5000, 0.5000, 0.5000)
Pd (0.2500, 0.2500, 0.2500)

(4)
## RbBeSbPd (PBE-GGA)

Data for a relaxed structure of RbBeSbPd.

Calculated values
Space group: F-43m
Distance to the lowest polymorph of the same formula in meV/atom: 178.8
VASP energy in Ry per atom: -0.20798

a b c (Å): 5.0511 5.0511 5.0511
angles (deg): 60.00 60.00 60.00
Atoms (fractional coordinates):
Be (0.7500, 0.7500, 0.7500)
Pd (0.5000, 0.5000, 0.5000)
Rb (0.2500, 0.2500, 0.2500)
Sb (0.0000, 0.0000, 0.0000)

(5)
## RbBePdSe3 (PBE-GGA)

Data for a relaxed structure of RbBePdSe3.

Calculated values
Space group: Cmcm
VASP energy in Ry per atom: -0.29859

a b c (Å): 7.7121 7.7121 10.5324
angles (deg): 90.00 90.00 151.45
Atoms (fractional coordinates):
Se (0.6057, 0.3943, 0.4392)
Se (0.6057, 0.3943, 0.0608)
Se (0.3943, 0.6057, 0.9392)
Se (0.9531, 0.0469, 0.2500)
Se (0.3943, 0.6057, 0.5608)
Se (0.0469, 0.9531, 0.7500)
Rb (0.7390, 0.2610, 0.7500)
Rb (0.2610, 0.7390, 0.2500)
Pd (0.0000, 0.0000, 0.0000)
Pd (0.0000, 0.0000, 0.5000)
Be (0.5354, 0.4646, 0.2500)
Be (0.4646, 0.5354, 0.7500)

(6)
## BeRePd (PBE-GGA)

Data for a relaxed structure of BeRePd.

Calculated values
Space group: F-43m
Distance to the lowest polymorph of the same formula in meV/atom: 0.0
VASP energy in Ry per atom: -0.47977

a b c (Å): 3.8858 3.8858 3.8858
angles (deg): 60.00 60.00 60.00
Atoms (fractional coordinates):
Be (0.0000, 0.0000, 0.0000)
Re (0.7500, 0.7500, 0.7500)
Pd (0.2500, 0.2500, 0.2500)